No. 1
CuAs | PBE | optimized geometry

Summary:
Crystal system ... monoclinic
Calculated formation energy ... 0.1634 eV/atom
Symmetry ... C2/m

abc: 5.9956 5.9956 8.0040
angles: 64.81 64.81 39.35
Last column: nearest neighbours and their distance in Å.
Fractional coordinates of all 10 atoms:
Cu  0.7469  0.7469  0.2312  5 As 2.54-2.70, 3 Cu 2.60-2.61
Cu  0.8988  0.8988  0.7684  3 Cu 2.58-2.60, 7 As 2.61-2.79
Cu  0.2531  0.2531  0.7688  5 As 2.54-2.70, 3 Cu 2.60-2.61
Cu  0.1012  0.1012  0.2316  3 Cu 2.58-2.60, 7 As 2.61-2.79
Cu  0.0000  0.0000  0.0000  4 As 2.53, 4 Cu 2.58-2.61
As  0.6361  0.6361  0.9943  8 Cu 2.53-2.70
As  0.3639  0.3639  0.0057  8 Cu 2.53-2.70
As  0.5000  0.5000  0.5000  6 Cu 2.64-2.79, 4 As 2.77
As  0.8478  0.8478  0.4584  3 Cu 2.54-2.79, 4 As 2.77-2.84
As  0.1522  0.1522  0.5416  3 Cu 2.54-2.79, 4 As 2.77-2.84

=====

No. 2
Ta6Ru5W | PBE | optimized geometry

Summary:
Crystal system ... orthorhombic
Calculated formation energy ... -0.3102 eV/atom
Symmetry ... Immm

abc: 4.4308 6.5482 7.7736
angles: 114.91 106.58 90.00
Last column: nearest neighbours and their distance in Å.
Fractional coordinates of all 12 atoms:
Ta  0.5000  0.7542  0.0000  2 W 2.74, 6 Ru 2.75-2.83
Ta  0.1658  0.9184  0.3314  7 Ru 2.71-2.80, 1 W 2.75
Ta  0.1658  0.4130  0.3314  7 Ru 2.71-2.80, 1 W 2.75
Ta  0.5000  0.2458  0.0000  2 W 2.74, 6 Ru 2.75-2.83
Ta  0.8342  0.0816  0.6686  7 Ru 2.71-2.80, 1 W 2.75
Ta  0.8342  0.5870  0.6686  7 Ru 2.71-2.80, 1 W 2.75
Ru  0.3366  0.3366  0.6731  8 Ta 2.75-2.80
Ru  0.0000  0.5000  0.0000  8 Ta 2.77
Ru  0.6634  0.6634  0.3269  8 Ta 2.75-2.80
Ru  0.6745  0.1742  0.3483  8 Ta 2.71-2.83
Ru  0.3255  0.8258  0.6517  8 Ta 2.71-2.83
W  0.0000  0.0000  0.0000  8 Ta 2.74-2.75

=====

No. 3
YMg2Mo | PBE | optimized geometry

Summary:
Crystal system ... orthorhombic
Calculated formation energy ... 0.3563 eV/atom
Symmetry ... Imm2
Energy relative to the lowest polymorph listed for this composition ... 29 kJ/mol of formula units

abc: 5.9862 5.9862 5.9862
angles: 149.15 127.16 62.45
Last column: nearest neighbours and their distance in Å.
Fractional coordinates of all 4 atoms:
Mg  0.9878  0.9878  0.0000  4 Mg 3.03-3.18, 4 Mo 3.11, 2 Y 3.28
Mg  0.7358  0.2358  0.5000  2 Mo 2.82, 2 Mg 3.03, 4 Y 3.12
Y  0.2678  0.7678  0.5000  2 Mo 2.93, 6 Mg 3.12-3.28, 2 Y 3.18
Mo  0.5086  0.5086  0.0000  6 Mg 2.82-3.11, 2 Y 2.93

=====

No. 4
GaTe2SN | PBE | optimized geometry

Summary:
Formation energy from raw total energies ... 0.860 eV per atom
Crystal system ... tetragonal
Symmetry ... P4/mmm
Energy relative to the lowest polymorph listed for this composition ... 90 kJ/mol of formula units

abc: 5.5814 5.5814 3.5574
angles: 90.00 90.00 90.00
Last column: nearest neighbours and their distance in Å.
Fractional coordinates of all 5 atoms:
S  0.5000  0.5000  0.5000  8 Te 3.31, 2 S 3.56
Te  0.5000  0.0000  0.0000  2 Ga 2.79
Te  0.0000  0.5000  0.0000  2 Ga 2.79
Ga  0.0000  0.0000  0.0000  2 N 1.78
N  0.0000  0.0000  0.5000  2 Ga 1.78

=====

What did the first record say?
CuAs | PBE | optimized geometry

Summary:
Crystal system ... monoclinic
Calculated formation energy ... 0.1634 eV/atom
Symmetry ... C2/m

abc: 5.9956 5.9956 8.0040
angles: 64.81 64.81 39.35
Last column: nearest neighbours and their distance in Å.
Fractional coordinates of all 10 atoms:
Cu  0.7469  0.7469  0.2312  5 As 2.54-2.70, 3 Cu 2.60-2.61
Cu  0.8988  0.8988  0.7684  3 Cu 2.58-2.60, 7 As 2.61-2.79
Cu  0.2531  0.2531  0.7688  5 As 2.54-2.70, 3 Cu 2.60-2.61
Cu  0.1012  0.1012  0.2316  3 Cu 2.58-2.60, 7 As 2.61-2.79
Cu  0.0000  0.0000  0.0000  4 As 2.53, 4 Cu 2.58-2.61
As  0.6361  0.6361  0.9943  8 Cu 2.53-2.70
As  0.3639  0.3639  0.0057  8 Cu 2.53-2.70
As  0.5000  0.5000  0.5000  6 Cu 2.64-2.79, 4 As 2.77
As  0.8478  0.8478  0.4584  3 Cu 2.54-2.79, 4 As 2.77-2.84
As  0.1522  0.1522  0.5416  3 Cu 2.54-2.79, 4 As 2.77-2.84

=====

Please write out number 1 again, unchanged.
CuAs | PBE | optimized geometry

Summary:
Crystal system ... monoclinic
Calculated formation energy ... 0.1634 eV/atom
Symmetry ... C2/m

abc: 5.9956 5.9956 8.0040
angles: 64.81 64.81 39.35
Last column: nearest neighbours and their distance in Å.
Fractional coordinates of all 10 atoms:
Cu  0.7469  0.7469  0.2312  5 As 2.54-2.70, 3 Cu 2.60-2.61
Cu  0.8988  0.8988  0.7684  3 Cu 2.58-2.60, 7 As 2.61-2.79
Cu  0.2531  0.2531  0.7688  5 As 2.54-2.70, 3 Cu 2.60-2.61
Cu  0.1012  0.1012  0.2316  3 Cu 2.58-2.60, 7 As 2.61-2.79
Cu  0.0000  0.0000  0.0000  4 As 2.53, 4 Cu 2.58-2.61
As  0.6361  0.6361  0.9943  8 Cu 2.53-2.70
As  0.3639  0.3639  0.0057  8 Cu 2.53-2.70
As  0.5000  0.5000  0.5000  6 Cu 2.64-2.79, 4 As 2.77
As  0.8478  0.8478  0.4584  3 Cu 2.54-2.79, 4 As 2.77-2.84
As  0.1522  0.1522  0.5416  3 Cu 2.54-2.79, 4 As 2.77-2.84